CaTePb2O6 | PBE-GGA | relaxed

DOS at the Fermi energy   0.0 states/eV per cell
Raw formation energy   -1563 meV per atom
Density   7566 kg/m³

Cell and atoms, written as CIF:
```
data_CaTePb2O6
_chemical_formula_sum 'Ca2 Te2 Pb4 O12'
_cell_length_a 5.777
_cell_length_b 6.115
_cell_length_c 10.196
_cell_angle_alpha 90.00
_cell_angle_beta 124.28
_cell_angle_gamma 90.00
_space_group_name_H-M_alt 'P 1 21/c 1'
_space_group_IT_number 14
_space_group_name_Hall '-P 2ybc'
loop_
_atom_site_label
_atom_site_type_symbol
_atom_site_fract_x
_atom_site_fract_y
_atom_site_fract_z
Ca1 Ca 0.000 0.000 0.000
Te1 Te 0.500 0.000 0.500
Pb1 Pb 0.231 0.046 0.736
O1 O 0.201 0.183 0.480
O2 O 0.262 0.745 0.454
O3 O 0.339 0.037 0.272
```



NdGdTl | PBE-GGA | relaxed

DOS at the Fermi energy   3.6 states/eV per cell
Energy above the lowest structure with this stoichiometry   75 meV per atom
Density   9055 kg/m³
Energy relative to the elements   -167 meV/atom

Cell and atoms, written as CIF:
```
data_NdGdTl
_chemical_formula_sum 'Nd1 Gd1 Tl1'
_cell_length_a 5.3383
_cell_length_b 5.3383
_cell_length_c 3.7591
_cell_angle_alpha 90.00
_cell_angle_beta 90.00
_cell_angle_gamma 120.00
_space_group_name_H-M_alt 'P 3 m 1'
_space_group_IT_number 156
_space_group_name_Hall 'P 3 -2"'
loop_
_atom_site_label
_atom_site_type_symbol
_atom_site_fract_x
_atom_site_fract_y
_atom_site_fract_z
Nd1 Nd 0.0000 0.0000 0.0000
Gd1 Gd 0.6667 0.3333 0.4501
Tl1 Tl 0.3333 0.6667 0.6422
```